1.
Density functional theory data (PBE+U) for a relaxed structure of CsVF4.

## Properties
M_tot   0.33 μB per atom
Uncorrected energy   -5.55 eV per atom
Calculated density   4.1 g cm⁻³

a = 7.9046 Å, b = 7.9149 Å, c = 6.7201 Å
α = 90.00°, β = 90.00°, γ = 90.00°
Closest atoms and distances in Å follow each position.
Space group Pmmn (No. 59, origin choice 2)
One atom of each set of equivalent atoms:
Cs 0.2500 0.2500 0.0165  10 F 3.15-3.39
Cs 0.2500 0.7500 0.0409  10 F 3.08-3.32
V 0.0000 0.0000 0.5000  6 F 1.92-2.02
F 0.0287 0.5150 0.7839  1 V 1.92
F 0.0420 0.7500 0.4697  2 V 2.02
F 0.2500 0.0422 0.4583  2 V 2.02

2.
Density functional theory data (PBE+U) for a relaxed structure of Cs3V2F9.

## Properties
M_tot   0.29 μB per atom
Uncorrected energy   -5.35 eV per atom
Calculated density   4.0 g cm⁻³

a = 11.1727 Å, b = 11.1727 Å, c = 15.3227 Å
α = 90.00°, β = 90.00°, γ = 120.00°
Closest atoms and distances in Å follow each position.
Space group R-3c (No. 167, hexagonal axes)
One atom of each set of equivalent atoms:
Cs 0.0000 0.3436 0.2500  12 F 3.16-3.38
V 0.0000 0.0000 0.1538  6 F 1.92-2.09
F 0.0000 0.1324 0.7500  2 V 2.09
F 0.0025 0.1534 0.4043  1 V 1.92

3.
Density functional theory data (PBE+U) for a relaxed structure of CsVF2.

## Properties
M_tot   0.59 μB per atom
Uncorrected energy   -4.63 eV per atom
Calculated density   4.2 g cm⁻³
Energy relative to the lowest polymorph listed for this composition   0.00 eV per formula unit

a = 3.6431 Å, b = 3.6431 Å, c = 22.9739 Å
α = 90.00°, β = 90.00°, γ = 120.00°
Closest atoms and distances in Å follow each position.
Space group R-3m (No. 166, hexagonal axes)
One atom of each set of equivalent atoms:
Cs 0.0000 0.0000 0.0000  2 F 3.04
V 0.0000 0.0000 0.5000  6 F 2.25
F 0.0000 0.0000 0.1322  3 V 2.25

4.
Density functional theory data (PBE+U) for a relaxed structure of Cs3V2F7.

## Properties
M_tot   0.50 μB per atom
Uncorrected energy   -5.27 eV per atom
Calculated density   4.5 g cm⁻³

a = 4.3440 Å, b = 25.1661 Å, c = 4.3155 Å
α = 90.00°, β = 90.00°, γ = 90.00°
Closest atoms and distances in Å follow each position.
Space group Cmmm (No. 65)
One atom of each set of equivalent atoms:
Cs 0.0000 0.0000 0.0000  12 F 3.06-3.11
Cs 0.0000 0.1759 0.0000  8 F 3.06-3.10
V 0.0000 0.4129 0.5000  6 F 2.11-2.19
F 0.0000 0.0883 0.5000  2 V 2.17
F 0.0000 0.3291 0.5000  1 V 2.11
F 0.0000 0.4117 0.0000  2 V 2.16
F 0.0000 0.5000 0.5000  2 V 2.19

Question: The highest M_tot belongs to which entry?
Answer: CsVF2